Entry 1:
The following is a DFT calculation (PBE) of crystalline Na7SiSe6 at its relaxed geometry.

Computed properties:
**Total energy**: -3.419 eV/atom
**Formation energy (no corrections)**: -879 meV/atom
**Volume**: 801.63 Å³ per cell

Unit cell a=7.459 b=11.048 c=11.048 alpha=77.70 beta=70.27 gamma=70.27
Site moments in Bohr magnetons follow the coordinates.
Fractional positions:
Na  0.721  0.034  0.966  0.00
Na  0.279  0.966  0.034  0.00
Na  0.779  0.534  0.466  0.00
Na  0.221  0.466  0.534  0.00
Na  0.493  0.595  0.163  0.00
Na  0.749  0.163  0.595  0.00
Na  0.007  0.337  0.905  0.00
Na  0.751  0.905  0.337  0.00
Na  0.507  0.405  0.837  0.00
Na  0.251  0.837  0.405  0.00
Na  0.993  0.663  0.095  0.00
Na  0.249  0.095  0.663  0.00
Na  0.250  0.250  0.250  0.00
Na  0.750  0.750  0.750  0.00
Si  0.750  0.250  0.250  0.00
Si  0.250  0.750  0.750  0.00
Se  0.645  0.271  0.072  0.04
Se  0.012  0.072  0.271  0.04
Se  0.855  0.428  0.229  0.04
Se  0.488  0.229  0.428  0.04
Se  0.355  0.729  0.928  0.04
Se  0.988  0.928  0.729  0.04
Se  0.145  0.572  0.771  0.04
Se  0.512  0.771  0.572  0.04
Se  0.091  0.663  0.337  0.22
Se  0.909  0.337  0.663  0.22
Se  0.409  0.163  0.837  0.22
Se  0.591  0.837  0.163  0.22



Entry 2:
The following is a DFT calculation (PBE) of crystalline Na2SiSe at its relaxed geometry.

Computed properties:
**Total energy**: -2.919 eV/atom
**Formation energy (no corrections)**: -33 meV/atom
**Volume**: 188.51 Å³ per cell
**Offset from the most stable computed form**: 0 kJ/mol of formula units

Unit cell a=8.210 b=8.210 c=6.444 alpha=50.43 beta=50.43 gamma=90.00
Fractional positions:
Na  0.651  0.125  0.250
Na  0.099  0.625  0.250
Na  0.375  0.349  0.750
Na  0.875  0.901  0.750
Si  0.500  0.500  0.000
Si  0.250  0.750  0.500
Se  0.000  0.000  0.000
Se  0.750  0.250  0.500



Entry 3:
The following is a DFT calculation (PBE) of crystalline NaSiSe at its relaxed geometry.

Computed properties:
**Total energy**: -3.758 eV/atom
**Formation energy (no corrections)**: -349 meV/atom
**Volume**: 175.57 Å³ per cell
**Offset from the most stable computed form**: 39 kJ/mol of formula units

Unit cell a=5.516 b=5.942 c=6.012 alpha=71.42 beta=70.21 gamma=86.05
Fractional positions:
Na  0.769  0.917  0.769
Na  0.271  0.361  0.182
Si  0.225  0.505  0.681
Si  0.597  0.673  0.325
Se  0.819  0.456  0.616
Se  0.351  0.927  0.563



Entry 4:
The following is a DFT calculation (PBE) of crystalline NaSiSe3 at its relaxed geometry.

Computed properties:
**Total energy**: -2.540 eV/atom
**Formation energy (no corrections)**: 899 meV/atom
**Volume**: 132.98 Å³ per cell
**Offset from the most stable computed form**: 615 kJ/mol of formula units

Unit cell a=5.104 b=5.104 c=5.104 alpha=90.00 beta=90.00 gamma=90.00
Site moments in Bohr magnetons follow the coordinates.
Fractional positions:
Na  0.000  0.000  0.000  0.01
Si  0.500  0.500  0.500  0.01
Se  0.000  0.500  0.000  0.46
Se  0.000  0.000  0.500  0.33
Se  0.500  0.000  0.000  0.35



Entry 5:
The following is a DFT calculation (PBE) of crystalline Na2SiSe4 at its relaxed geometry.

Computed properties:
**Total energy**: -3.549 eV/atom
**Formation energy (no corrections)**: -406 meV/atom
**Volume**: 195.41 Å³ per cell
**Offset from the most stable computed form**: 0 kJ/mol of formula units

Unit cell a=6.441 b=6.441 c=6.621 alpha=120.44 beta=120.44 gamma=87.61
Fractional positions:
Na  0.251  0.749  0.500
Na  0.751  0.249  0.500
Si  0.000  0.000  0.000
Se  0.722  0.785  0.000
Se  0.215  0.278  0.000
Se  0.274  0.213  0.486
Se  0.787  0.726  0.514



Entry 6:
The following is a DFT calculation (PBE) of crystalline NaSiSe2 at its relaxed geometry.

Computed properties:
**Total energy**: -3.922 eV/atom
**Formation energy (no corrections)**: -494 meV/atom
**Volume**: 377.19 Å³ per cell

Unit cell a=5.633 b=6.098 c=10.980 alpha=90.00 beta=90.00 gamma=90.00
Fractional positions:
Na  0.063  0.041  0.388
Na  0.563  0.959  0.612
Na  0.563  0.459  0.888
Na  0.063  0.541  0.112
Si  0.022  0.030  0.885
Si  0.522  0.970  0.115
Si  0.522  0.470  0.385
Si  0.022  0.530  0.615
Se  0.065  0.410  0.842
Se  0.565  0.590  0.158
Se  0.565  0.090  0.342
Se  0.065  0.910  0.658
Se  0.600  0.956  0.888
Se  0.100  0.044  0.112
Se  0.100  0.544  0.388
Se  0.600  0.456  0.612



Entry 7:
The following is a DFT calculation (PBE) of crystalline NaSiSe at its relaxed geometry.

Computed properties:
**Total energy**: -3.869 eV/atom
**Formation energy (no corrections)**: -460 meV/atom
**Volume**: 342.13 Å³ per cell
**Offset from the most stable computed form**: 7 kJ/mol of formula units

Unit cell a=8.729 b=3.995 c=12.659 alpha=90.00 beta=129.19 gamma=90.00
Fractional positions:
Na  0.500  0.000  0.500
Na  0.500  0.500  0.000
Na  0.000  0.500  0.000
Na  0.000  0.000  0.500
Si  0.575  0.000  0.805
Si  0.425  0.000  0.195
Si  0.575  0.500  0.305
Si  0.425  0.500  0.695
Se  0.217  0.000  0.965
Se  0.783  0.000  0.035
Se  0.217  0.500  0.465
Se  0.783  0.500  0.535



Entry 8:
The following is a DFT calculation (PBE) of crystalline NaSiSe at its relaxed geometry.

Computed properties:
**Total energy**: -3.865 eV/atom
**Formation energy (no corrections)**: -456 meV/atom
**Volume**: 138.13 Å³ per cell
**Offset from the most stable computed form**: 8 kJ/mol of formula units

Unit cell a=3.965 b=3.965 c=10.270 alpha=111.82 beta=111.82 gamma=88.08
Fractional positions:
Si  0.817  0.817  0.536
Si  0.183  0.183  0.464
Na  0.603  0.603  0.842
Na  0.397  0.397  0.158
Se  0.060  0.060  0.797
Se  0.940  0.940  0.203



Entry 9:
The following is a DFT calculation (PBE) of crystalline Na2SiSe3 at its relaxed geometry.

Computed properties:
**Total energy**: -3.904 eV/atom
**Formation energy (no corrections)**: -818 meV/atom
**Volume**: 704.91 Å³ per cell
**Offset from the most stable computed form**: 0 kJ/mol of formula units

Unit cell a=6.563 b=7.833 c=15.102 alpha=89.95 beta=89.88 gamma=65.23
Fractional positions:
Na  0.528  0.428  0.317
Na  0.044  0.428  0.183
Na  0.472  0.572  0.683
Na  0.956  0.572  0.817
Na  0.289  0.946  0.064
Na  0.765  0.946  0.436
Na  0.711  0.054  0.936
Na  0.235  0.054  0.564
Si  0.756  0.969  0.165
Si  0.276  0.969  0.335
Si  0.244  0.031  0.835
Si  0.724  0.031  0.665
Se  0.603  0.794  0.250
Se  0.397  0.206  0.750
Se  0.487  0.227  0.106
Se  0.286  0.227  0.394
Se  0.513  0.773  0.894
Se  0.714  0.773  0.606
Se  0.747  0.250  0.576
Se  0.003  0.250  0.924
Se  0.253  0.750  0.424
Se  0.997  0.750  0.076
Se  0.941  0.119  0.250
Se  0.059  0.881  0.750



Entry 10:
The following is a DFT calculation (PBE) of crystalline Na3SiSe4 at its relaxed geometry.

Computed properties:
**Total energy**: -3.788 eV/atom
**Formation energy (no corrections)**: -873 meV/atom
**Volume**: 1754.22 Å³ per cell
**Offset from the most stable computed form**: 0 kJ/mol of formula units

Unit cell a=17.299 b=7.400 c=13.862 alpha=81.31 beta=90.00 gamma=90.00
Fractional positions:
Na  0.950  0.052  0.284
Na  0.450  0.948  0.216
Na  0.050  0.948  0.716
Na  0.550  0.052  0.784
Na  0.672  0.584  0.765
Na  0.172  0.416  0.735
Na  0.328  0.416  0.235
Na  0.828  0.584  0.265
Na  0.702  0.987  0.285
Na  0.202  0.013  0.215
Na  0.298  0.013  0.715
Na  0.798  0.987  0.785
Na  0.610  0.421  0.020
Na  0.110  0.579  0.480
Na  0.390  0.579  0.980
Na  0.890  0.421  0.520
Na  0.672  0.295  0.505
Na  0.934  0.749  0.003
Na  0.566  0.749  0.503
Na  0.066  0.251  0.997
Na  0.828  0.295  0.005
Na  0.328  0.705  0.495
Na  0.172  0.705  0.995
Na  0.434  0.251  0.497
Si  0.026  0.603  0.233
Si  0.526  0.397  0.267
Si  0.974  0.397  0.767
Si  0.474  0.603  0.733
Si  0.775  0.883  0.527
Si  0.275  0.117  0.973
Si  0.225  0.117  0.473
Si  0.725  0.883  0.027
Se  0.967  0.675  0.367
Se  0.110  0.199  0.385
Se  0.390  0.199  0.885
Se  0.890  0.801  0.615
Se  0.067  0.853  0.130
Se  0.567  0.147  0.370
Se  0.933  0.147  0.870
Se  0.433  0.853  0.630
Se  0.732  0.665  0.441
Se  0.232  0.335  0.059
Se  0.268  0.335  0.559
Se  0.768  0.665  0.941
Se  0.149  0.479  0.281
Se  0.649  0.521  0.219
Se  0.851  0.521  0.719
Se  0.351  0.479  0.781
Se  0.610  0.801  0.115
Se  0.467  0.325  0.133
Se  0.033  0.325  0.633
Se  0.533  0.675  0.867
Se  0.817  0.944  0.135
Se  0.317  0.056  0.365
Se  0.183  0.056  0.865
Se  0.683  0.944  0.635
Se  0.819  0.133  0.426
Se  0.319  0.867  0.074
Se  0.181  0.867  0.574
Se  0.681  0.133  0.926
Se  0.457  0.595  0.345
Se  0.957  0.405  0.155
Se  0.543  0.405  0.655
Se  0.043  0.595  0.845



Entry 11:
The following is a DFT calculation (PBE) of crystalline NaSi3Se at its relaxed geometry.

Computed properties:
**Total energy**: -3.347 eV/atom
**Formation energy (no corrections)**: 867 meV/atom
**Volume**: 128.73 Å³ per cell
**Offset from the most stable computed form**: 0 kJ/mol of formula units

Unit cell a=5.049 b=5.049 c=5.049 alpha=90.00 beta=90.00 gamma=90.00
Fractional positions:
Na  0.500  0.500  0.500
Si  0.000  0.500  0.000
Si  0.000  0.000  0.500
Si  0.500  0.000  0.000
Se  0.000  0.000  0.000



Entry 12:
The following is a DFT calculation (PBE) of crystalline NaSiSe at its relaxed geometry.

Computed properties:
**Total energy**: -3.875 eV/atom
**Formation energy (no corrections)**: -466 meV/atom
**Volume**: 146.31 Å³ per cell
**Offset from the most stable computed form**: 5 kJ/mol of formula units

Unit cell a=3.998 b=5.441 c=7.603 alpha=70.60 beta=82.02 gamma=69.72
Fractional positions:
Na  0.590  0.308  0.812
Na  0.360  0.688  0.118
Si  0.350  0.075  0.337
Si  0.902  0.865  0.506
Se  0.908  0.726  0.829
Se  0.898  0.468  0.429



Entry 13:
The following is a DFT calculation (PBE) of crystalline NaSiSe at its relaxed geometry.

Computed properties:
**Total energy**: -3.857 eV/atom
**Formation energy (no corrections)**: -448 meV/atom
**Volume**: 186.85 Å³ per cell
**Offset from the most stable computed form**: 11 kJ/mol of formula units

Unit cell a=4.016 b=6.679 c=7.773 alpha=106.98 beta=97.71 gamma=105.64
Fractional positions:
Na  0.997  0.650  0.625
Na  0.671  0.232  0.090
Si  0.271  0.182  0.577
Si  0.747  0.056  0.681
Se  0.219  0.410  0.867
Se  0.306  0.371  0.374



Entry 14:
The following is a DFT calculation (PBE) of crystalline NaSiSe at its relaxed geometry.

Computed properties:
**Total energy**: -3.894 eV/atom
**Formation energy (no corrections)**: -485 meV/atom
**Volume**: 149.46 Å³ per cell
**Offset from the most stable computed form**: 0 kJ/mol of formula units

Unit cell a=4.221 b=4.063 c=8.786 alpha=90.00 beta=97.28 gamma=90.00
Fractional positions:
Na  0.780  0.250  0.180
Na  0.220  0.750  0.820
Si  0.623  0.250  0.548
Si  0.377  0.750  0.452
Se  0.720  0.250  0.809
Se  0.280  0.750  0.191



Entry 15:
The following is a DFT calculation (PBE) of crystalline Na4SiSe4 at its relaxed geometry.

Computed properties:
**Total energy**: -3.646 eV/atom
**Formation energy (no corrections)**: -908 meV/atom
**Volume**: 276.24 Å³ per cell
**Offset from the most stable computed form**: 49 kJ/mol of formula units

Unit cell a=6.885 b=6.885 c=7.594 alpha=116.96 beta=116.96 gamma=90.00
Fractional positions:
Na  0.500  0.000  0.000
Na  0.000  0.500  0.000
Na  0.306  0.306  0.611
Na  0.694  0.694  0.389
Si  0.000  0.000  0.000
Se  0.690  0.690  0.763
Se  0.310  0.927  0.237
Se  0.073  0.073  0.763
Se  0.927  0.310  0.237



Entry 16:
The following is a DFT calculation (PBE) of crystalline NaSiSe2 at its relaxed geometry.

Computed properties:
**Total energy**: -3.899 eV/atom
**Formation energy (no corrections)**: -471 meV/atom
**Volume**: 237.76 Å³ per cell

Unit cell a=6.295 b=6.295 c=7.470 alpha=65.08 beta=65.08 gamma=90.00
Fractional positions:
Na  0.500  0.500  0.000
Na  0.250  0.750  0.500
Si  0.000  0.000  0.000
Si  0.750  0.250  0.500
Se  0.696  0.125  0.250
Se  0.054  0.625  0.250
Se  0.375  0.304  0.750
Se  0.875  0.946  0.750



Entry 17:
The following is a DFT calculation (PBE) of crystalline Na2SmSiSe4 at its relaxed geometry.

Computed properties:
**Total energy**: -4.379 eV/atom
**Formation energy (no corrections)**: -1039 meV/atom
**Volume**: 391.54 Å³ per cell

Unit cell a=8.227 b=8.227 c=8.458 alpha=120.94 beta=120.94 gamma=90.40
Fractional positions:
Na  0.500  0.000  0.000
Na  0.500  0.000  0.500
Na  0.000  0.000  0.500
Na  0.500  0.500  0.000
Sm  0.000  0.500  0.000
Sm  0.000  0.500  0.500
Si  0.500  0.500  0.500
Si  0.000  0.000  0.000
Se  0.228  0.771  0.999
Se  0.729  0.272  0.501
Se  0.271  0.728  0.499
Se  0.772  0.229  0.001
Se  0.751  0.749  0.964
Se  0.751  0.749  0.536
Se  0.249  0.251  0.464
Se  0.249  0.251  0.036



Entry 18:
The following is a DFT calculation (PBE) of crystalline Na3Sm2Si2Se6 at its relaxed geometry.

Computed properties:
**Total energy**: -4.505 eV/atom
**Formation energy (no corrections)**: -1032 meV/atom
**Volume**: 336.44 Å³ per cell
**Offset from the most stable computed form**: 10 kJ/mol of formula units

Unit cell a=7.287 b=7.287 c=7.685 alpha=80.80 beta=80.80 gamma=119.60
Fractional positions:
Na  0.000  0.000  0.000
Na  0.335  0.665  0.000
Na  0.665  0.335  0.000
Sm  0.167  0.833  0.500
Sm  0.833  0.167  0.500
Si  0.444  0.444  0.668
Si  0.556  0.556  0.332
Se  0.767  0.767  0.738
Se  0.233  0.233  0.262
Se  0.420  0.078  0.736
Se  0.580  0.922  0.264
Se  0.922  0.580  0.264
Se  0.078  0.420  0.736



Entry 19:
The following is a DFT calculation (PBE) of crystalline Na3Sm2Si2Se6 at its relaxed geometry.

Computed properties:
**Total energy**: -4.513 eV/atom
**Formation energy (no corrections)**: -1040 meV/atom
**Volume**: 346.04 Å³ per cell
**Offset from the most stable computed form**: 0 kJ/mol of formula units

Unit cell a=7.250 b=7.250 c=7.765 alpha=78.22 beta=78.22 gamma=113.88
Fractional positions:
Na  0.000  0.000  0.000
Na  0.656  0.344  0.000
Na  0.344  0.656  0.000
Si  0.566  0.566  0.334
Si  0.434  0.434  0.666
Se  0.210  0.210  0.243
Se  0.790  0.790  0.757
Se  0.591  0.920  0.277
Se  0.409  0.080  0.723
Se  0.080  0.409  0.723
Se  0.920  0.591  0.277
Sm  0.837  0.163  0.500
Sm  0.163  0.837  0.500